Below is Mn2GeHOs after structural relaxation, with properties calculated at the PBE level.

## Properties
For the total energy, the calculation gives -37.39 eV/f.u.

POSCAR file:
```
Mn2GeHOs
1.0
-0.014 3.693 -0.765
-1.256 0.717 3.483
3.670 0.276 1.267
Os H Mn Ge
1 1 2 1
Direct
0.000 0.000 0.500
0.000 0.000 0.000
0.500 0.000 0.000
0.000 0.500 0.000
0.500 0.500 0.500
```

=====

Below is TiBiSbAs2 after structural relaxation, with properties calculated at the PBE level.

## Properties
The raw formation energy is 5.58 eV/f.u.

POSCAR file:
```
TiBiSbAs2
1.0
5.428 0.000 0.000
0.000 5.256 0.000
0.000 0.000 5.428
Ti Sb As Bi
1 1 2 1
Direct
0.000 0.500 0.000
0.500 0.500 0.500
0.500 0.000 0.000
0.000 0.000 0.500
0.000 0.000 0.000
```

=====

Below is SrLiLaAg after structural relaxation, with properties calculated at the PBE level.

## Properties
The calculation puts the formation energy at -0.28 eV per formula unit.

POSCAR file:
```
SrLiLaAg
1.0
-0.322 -5.497 -0.487
3.439 -2.680 -3.398
4.002 -3.198 2.076
Sr Ag La Li
1 1 1 1
Direct
0.500 0.500 0.500
0.250 0.250 0.250
0.000 0.000 0.000
0.750 0.750 0.750
```

=====

Below is LaSnAu3 after structural relaxation, with properties calculated at the PBE level.

## Properties
For the relative energy among the computed polymorphs, the calculation gives 0.947 eV/atom. The calculation puts the formation energy at 1.90 eV per formula unit.

POSCAR file:
```
LaSnAu3
1.0
-4.456 -3.214 0.845
1.411 -0.549 5.349
-3.009 4.502 1.255
Sn La Au
1 1 3
Direct
0.500 0.500 0.500
0.000 0.000 0.000
0.000 0.000 0.500
0.000 0.500 0.000
0.500 0.000 0.000
```